Density functional theory data (GGA-PBE) for Pr4CuSn3 after structural relaxation.

Results
Space-group type: No. 25
Size of the total moment: 0.11 μB/f.u.
D(E_F): 0.89 states/eV per atom
ΔE_f: -4.75 eV/f.u.

CIF file:
```
data_Pr4CuSn3
_cell_length_a 4.4621
_cell_length_b 4.5640
_cell_length_c 11.6949
_cell_angle_alpha 90.00
_cell_angle_beta 90.00
_cell_angle_gamma 90.00
_symmetry_space_group_name_H-M 'P 1'
_symmetry_Int_Tables_number 1
loop_
_symmetry_equiv_pos_as_xyz
'x,y,z'
loop_
_atom_site_label
_atom_site_fract_x
_atom_site_fract_y
_atom_site_fract_z
_atom_site_occupancy
Pr1 0.0000 0.0000 0.0000 1
Pr2 0.0000 0.5000 0.4821 1
Pr3 0.5000 0.0000 0.7128 1
Pr4 0.5000 0.5000 0.2176 1
Cu1 0.0000 0.0000 0.2843 1
Sn1 0.0000 0.5000 0.7630 1
Sn2 0.5000 0.0000 0.4277 1
Sn3 0.5000 0.5000 0.9407 1
```


Density functional theory data (GGA-PBE) for TmGaPd3 after structural relaxation.

Results
Space-group type: No. 62
Size of the total moment: 0.00 μB/f.u.
D(E_F): 0.42 states/eV per atom
ΔE_f: -3.63 eV/f.u.

CIF file:
```
data_TmGaPd3
_cell_length_a 5.4754
_cell_length_b 7.7602
_cell_length_c 8.5804
_cell_angle_alpha 90.00
_cell_angle_beta 90.00
_cell_angle_gamma 90.00
_symmetry_space_group_name_H-M 'P 1'
_symmetry_Int_Tables_number 1
loop_
_symmetry_equiv_pos_as_xyz
'x,y,z'
loop_
_atom_site_label
_atom_site_fract_x
_atom_site_fract_y
_atom_site_fract_z
_atom_site_occupancy
Tm1 0.9997 0.2500 0.9996 1
Tm2 0.0003 0.7500 0.0004 1
Tm3 0.4997 0.2500 0.5004 1
Tm4 0.5003 0.7500 0.4996 1
Ga1 0.0000 0.0000 0.5000 1
Ga2 0.0000 0.5000 0.5000 1
Ga3 0.5000 0.0000 0.0000 1
Ga4 0.5000 0.5000 0.0000 1
Pd1 0.0002 0.2500 0.3232 1
Pd2 0.9998 0.7500 0.6768 1
Pd3 0.2495 0.0601 0.7502 1
Pd4 0.2495 0.4399 0.7502 1
Pd5 0.2505 0.5601 0.2502 1
Pd6 0.2505 0.9399 0.2502 1
Pd7 0.5002 0.2500 0.1768 1
Pd8 0.4998 0.7500 0.8232 1
Pd9 0.7495 0.0601 0.7498 1
Pd10 0.7495 0.4399 0.7498 1
Pd11 0.7505 0.5601 0.2498 1
Pd12 0.7505 0.9399 0.2498 1
```